Entry from the Alexandria database: a geometry-optimized Er2Ge3Pd5 structure (PBE).

```
Er2Ge3Pd5
1.0
5.750 0.000 0.000
2.875 7.941 -0.747
2.875 0.487 7.961
Pd Ge Er
10 6 4
Cartesian
7.187 4.214 3.607
4.312 1.959 1.677
2.875 0.927 5.836
4.312 4.214 3.607
5.750 2.519 7.199
1.437 1.959 1.677
10.062 6.469 5.537
8.625 7.501 1.378
5.750 5.909 0.015
7.187 6.469 5.537
8.625 6.300 3.508
4.312 0.000 0.000
5.750 3.990 1.531
2.875 2.128 3.706
1.437 0.000 0.000
5.750 4.438 5.684
5.750 6.995 2.675
8.625 3.722 6.499
5.750 1.432 4.539
2.875 4.706 0.715
```

Computed properties:
* ΔE to the lowest computed polymorph: 32 meV/atom
* V: 18.3 A^3/atom
* E: -5.6545 eV/atom
* magnetization: 0.00 μB per formula unit
* calculated density: 9.853 g cm⁻³
* calculated formation energy: -760 meV per atom

Entry from the Alexandria database: a geometry-optimized Er3Ge3Pd2 structure (PBE).

```
Er3Ge3Pd2
1.0
-1.217 -4.030 -0.929
5.624 0.511 0.420
-0.770 -2.983 13.949
Er Ge Pd
6 6 4
Cartesian
3.041 -3.323 10.429
0.405 -2.081 8.497
3.232 -4.421 4.943
0.596 -3.180 3.010
3.448 -3.584 1.028
0.189 -2.918 12.411
0.321 -4.704 9.984
0.149 -3.726 5.962
3.162 -4.038 13.376
3.488 -2.777 7.478
0.475 -2.464 0.064
3.316 -1.798 3.456
1.961 -0.913 1.391
1.905 -4.701 7.893
1.732 -1.802 5.547
1.676 -5.590 12.048
```

Computed properties:
* ΔE to the lowest computed polymorph: 0 meV/atom
* V: 20.2 A^3/atom
* E: -5.6900 eV/atom
* magnetization: 0.00 μB per formula unit
* calculated density: 9.603 g cm⁻³
* calculated formation energy: -949 meV per atom

Q: The highest calculated formation energy belongs to which entry?
A: Er2Ge3Pd5

Q: Number 2 is which compound?
A: Er3Ge3Pd2